YSi2Ir | GGA-PBEsol | relaxed

Cell lengths 4.0496, 4.0496, 14.5241 Å; angles 90.00, 90.00, 120.00 degrees
With the nearest neighbours (Å) after each atom.
Space group R-3m (No. 166, hexagonal axes)
Inequivalent atoms, fractional coordinates:
1 Y 0.0000 0.0000 0.0000  8 Si 2.92-3.10
2 Si 0.0000 0.0000 0.2132  3 Ir 2.43, 3 Si 2.70
3 Ir 0.0000 0.0000 0.5000  6 Si 2.43

Calculated values
- Energy relative to the elements, uncorrected: -21.90 kcal/mol of atoms
- Calculated total energy: -7.9844 eV per atom

BeAl2Tc | GGA-PBEsol | relaxed

Cell lengths 3.6300, 3.6300, 7.8235 Å; angles 90.00, 90.00, 90.00 degrees
With the nearest neighbours (Å) after each atom.
Space group I4/mmm (No. 139)
Inequivalent atoms, fractional coordinates:
1 Be 0.0000 0.0000 0.0000  4 Tc 2.57, 8 Al 2.67
2 Al 0.0000 0.5000 0.2500  4 Al 2.57, 4 Tc 2.67, 4 Be 2.67
3 Tc 0.0000 0.0000 0.5000  4 Be 2.57, 8 Al 2.67

Calculated values
- Calculated total energy: -6.1178 eV per atom

Ca2BeSi | GGA-PBEsol | relaxed

Cell lengths 3.4717, 3.4717, 7.1054 Å; angles 90.00, 90.00, 90.00 degrees
With the nearest neighbours (Å) after each atom.
Space group P4/mmm (No. 123)
Inequivalent atoms, fractional coordinates:
1 Ca 0.0000 0.0000 0.2463  4 Be 3.01, 4 Si 3.05
2 Be 0.5000 0.5000 0.0000  8 Ca 3.01
3 Si 0.5000 0.5000 0.5000  8 Ca 3.05

Calculated values
- Energy relative to the elements, uncorrected: 0.48 kcal/mol of atoms
- Calculated total energy: -3.4825 eV per atom
- E above lowest polymorph: 0.1325 eV per atom